(1)
First-principles (SCAN) data for Li5Cu3Ni2O10 at its PBEsol-relaxed geometry, as listed in Alexandria.

a b c (Å): 4.933 5.155 7.458
angles (deg): 105.24 103.23 103.64
Atoms (fractional coordinates):
Ni (0.101, 0.675, 0.692)
Ni (0.899, 0.325, 0.308)
Li (0.600, 0.722, 0.215)
Li (0.794, 0.094, 0.598)
Li (0.206, 0.906, 0.402)
Li (0.400, 0.278, 0.785)
Li (0.500, 0.500, 0.500)
O (0.059, 0.022, 0.838)
O (0.446, 0.879, 0.663)
O (0.343, 0.665, 0.923)
O (0.130, 0.328, 0.542)
O (0.657, 0.335, 0.077)
O (0.213, 0.529, 0.249)
O (0.941, 0.978, 0.162)
O (0.554, 0.121, 0.337)
O (0.787, 0.471, 0.751)
O (0.870, 0.672, 0.458)
Cu (0.697, 0.884, 0.896)
Cu (0.000, 0.500, 0.000)
Cu (0.303, 0.116, 0.104)

Calculated values
uncorrected formation energy	-1416	meV per atom
mass density	4939	kg/m3
electronic total energy	-9.026	eV per atom
space group	No. 2

(2)
First-principles (SCAN) data for K3NaUC3O11 at its PBEsol-relaxed geometry, as listed in Alexandria.

a b c (Å): 8.245 9.224 9.224
angles (deg): 120.00 90.00 90.00
Atoms (fractional coordinates):
O (0.750, 0.154, 0.788)
O (0.250, 0.518, 0.486)
O (0.250, 0.969, 0.482)
O (0.527, 0.333, 0.667)
O (0.750, 0.365, 0.236)
O (0.250, 0.130, 0.764)
O (0.250, 0.846, 0.634)
O (0.250, 0.788, 0.154)
O (0.750, 0.634, 0.846)
O (0.973, 0.333, 0.667)
O (0.750, 0.870, 0.635)
O (0.750, 0.764, 0.130)
O (0.750, 0.031, 0.514)
O (0.250, 0.635, 0.870)
O (0.027, 0.667, 0.333)
O (0.250, 0.514, 0.031)
O (0.250, 0.366, 0.212)
O (0.473, 0.667, 0.333)
O (0.750, 0.482, 0.969)
O (0.750, 0.212, 0.366)
O (0.250, 0.236, 0.365)
O (0.750, 0.486, 0.518)
K (0.000, 0.699, 0.699)
K (0.000, 0.301, 0.000)
K (0.500, 0.000, 0.301)
K (0.500, 0.699, 0.699)
K (0.500, 0.301, 0.000)
K (0.000, 0.000, 0.301)
C (0.250, 0.988, 0.634)
C (0.250, 0.645, 0.012)
C (0.250, 0.366, 0.355)
C (0.750, 0.634, 0.988)
C (0.750, 0.355, 0.366)
C (0.750, 0.012, 0.645)
Na (0.750, 0.667, 0.333)
Na (0.250, 0.333, 0.667)
U (0.250, 0.667, 0.333)
U (0.750, 0.333, 0.667)

Calculated values
uncorrected formation energy	-2192	meV per atom
mass density	3227	kg/m3
electronic total energy	-14.380	eV per atom
space group	No. 190

(3)
First-principles (SCAN) data for InHgSb2 at its PBEsol-relaxed geometry, as listed in Alexandria.

a b c (Å): 3.978 4.894 6.115
angles (deg): 113.59 108.98 90.00
Atoms (fractional coordinates):
In (0.000, 0.500, 0.000)
Hg (0.500, 0.000, 0.000)
Sb (0.756, 0.756, 0.511)
Sb (0.244, 0.244, 0.489)

Calculated values
uncorrected formation energy	150	meV per atom
mass density	9099	kg/m3
electronic total energy	-43.869	eV per atom
space group	No. 71
E above lowest polymorph	0	meV per atom

(4)
First-principles (SCAN) data for YMnSb2 at its PBEsol-relaxed geometry, as listed in Alexandria.

a b c (Å): 4.039 4.709 4.709
angles (deg): 89.66 90.03 90.03
Site moments in Bohr magnetons follow the coordinates.
Atoms (fractional coordinates):
Sb (0.000, 0.500, 0.000)  -0.01
Sb (0.000, 0.000, 0.500)  -0.01
Y (0.500, 0.500, 0.500)  -0.07
Mn (0.500, 0.000, 0.000)  4.13

Calculated values
uncorrected formation energy	-489	meV per atom
mass density	7182	kg/m3
electronic total energy	-30.643	eV per atom
space group	No. 65

(5)
First-principles (SCAN) data for Na9SmSi4Se12 at its PBEsol-relaxed geometry, as listed in Alexandria.

a b c (Å): 6.965 9.712 9.712
angles (deg): 76.61 83.18 83.18
Atoms (fractional coordinates):
Na (0.755, 0.001, 0.495)
Na (0.751, 0.328, 0.177)
Na (0.750, 0.672, 0.827)
Na (0.250, 0.173, 0.328)
Na (0.249, 0.823, 0.672)
Na (0.245, 0.505, 0.999)
Na (0.000, 0.585, 0.415)
Na (0.500, 0.427, 0.573)
Na (0.000, 0.905, 0.095)
Se (0.380, 0.471, 0.277)
Se (0.111, 0.532, 0.718)
Se (0.855, 0.623, 0.126)
Se (0.392, 0.793, 0.971)
Se (0.126, 0.211, 0.024)
Se (0.874, 0.976, 0.789)
Se (0.145, 0.874, 0.377)
Se (0.620, 0.723, 0.529)
Se (0.647, 0.362, 0.877)
Se (0.889, 0.282, 0.468)
Se (0.353, 0.123, 0.638)
Se (0.608, 0.029, 0.207)
Si (0.022, 0.176, 0.671)
Si (0.468, 0.824, 0.331)
Si (0.532, 0.669, 0.176)
Si (0.978, 0.329, 0.824)
Sm (0.500, 0.083, 0.917)

Calculated values
uncorrected formation energy	-1177	meV per atom
mass density	3725	kg/m3
electronic total energy	-15.154	eV per atom
space group	No. 5

(6)
First-principles (SCAN) data for ScSbMo2As at its PBEsol-relaxed geometry, as listed in Alexandria.

a b c (Å): 4.674 4.674 5.097
angles (deg): 90.00 90.00 90.00
Site moments in Bohr magnetons follow the coordinates.
Atoms (fractional coordinates):
Mo (0.500, 0.000, 0.000)  1.90
Mo (0.000, 0.500, 0.000)  1.90
Sc (0.000, 0.000, 0.000)  0.02
Sb (0.000, 0.000, 0.500)  -0.01
As (0.500, 0.500, 0.500)  -0.15

Calculated values
uncorrected formation energy	1805	meV per atom
mass density	6466	kg/m3
electronic total energy	-26.487	eV per atom
space group	No. 123

| no. | density of states at the Fermi level (states/eV/cell) |
| --- | --- |
| 1 | 2.99 |
| 2 | 0.00 |
| 3 | 1.69 |
| 4 | 2.72 |
| 5 | 0.00 |
| 6 | 4.72 |